(1)
OsW2Cl (PBE, relaxed); M_tot = 0.00 μB per formula unit; calculated density = 15.76 Mg/m³; symmetry = C2/m
1.0
5.0280 0.0003 -0.0009
-2.1297 4.5547 -0.0009
0.4403 0.6919 2.7289
Cl Os W
1 1 2
Direct
0.5000 0.0000 0.5000
0.0000 0.5000 0.5000
0.0000 0.0000 0.0000
0.5000 0.5000 0.0000

---

(2)
OsW2Cl (PBE, relaxed); M_tot = 0.00 μB per formula unit; calculated density = 15.30 Mg/m³; symmetry = Pmm2
1.0
2.8355 0.0000 0.0000
0.0000 4.0183 0.0000
0.0000 0.0000 5.6508
Cl Os W
1 1 2
Direct
0.0000 0.0000 0.4999
0.5000 0.5000 0.7851
0.0000 0.0000 0.9658
0.5000 0.5000 0.2491

---

How do the energies compare? Relative to the most stable structure, in kJ/mol of atoms: (1) 15.3; (2) 0.0.

---

(1)
OsW2Cl (PBE, relaxed); M_tot = 0.00 μB per formula unit; calculated density = 14.91 Mg/m³; symmetry = P4mm
1.0
-1.9437 1.6084 -1.3612
-1.4724 -2.3615 -0.6877
-4.2272 0.6531 6.8080
Cl Os W
1 1 2
Direct
0.0000 0.0000 0.4666
0.5000 0.5000 0.7847
0.0000 0.0000 0.9945
0.5000 0.5000 0.2542

---

(2)
OsW2Cl (PBE, relaxed); M_tot = 0.00 μB per formula unit; calculated density = 15.95 Mg/m³; symmetry = R-3m
1.0
-5.3442 7.0023 0.8835
-7.2297 5.1073 -0.1452
-6.6636 5.1852 2.6616
Cl Os W
1 1 2
Direct
0.2500 0.2500 0.2500
0.7500 0.7500 0.7500
0.9997 0.9997 0.9997
0.5003 0.5003 0.5003

---

(3)
OsW2Cl (PBE, relaxed); M_tot = 0.00 μB per formula unit; calculated density = 15.42 Mg/m³; symmetry = P4/mmm
1.0
-1.6613 -4.1589 0.1410
1.2094 -0.6026 -3.5261
3.2919 -1.2693 1.3460
Cl Os W
1 1 2
Direct
0.5000 0.5000 0.0000
0.5000 0.0000 0.5000
0.0000 0.0000 0.0000
0.0000 0.5000 0.5000

---

(4)
OsW2Cl (PBE, relaxed); M_tot = 0.00 μB per formula unit; calculated density = 15.79 Mg/m³; symmetry = Pm
1.0
4.1226 0.0000 0.0000
0.0000 2.8463 -0.0102
0.0000 1.4294 5.3142
Cl Os W
1 1 2
Direct
0.0000 0.3044 0.5060
0.5000 0.6859 0.7606
0.0000 0.0866 0.9608
0.5000 0.4230 0.2726

---

How do the energies compare? Relative to the most stable structure, in kJ/mol of atoms: (1) 15.0; (2) 0.0; (3) 106.6; (4) 26.8.

---

(1)
OsW2Cl (PBE, relaxed); M_tot = 0.00 μB per formula unit; calculated density = 13.81 Mg/m³; symmetry = R3m
1.0
10.2849 0.1563 0.0917
9.8478 2.9706 0.0917
9.8478 1.5295 2.5483
Cl Os W
1 1 2
Direct
0.5217 0.5217 0.5217
0.7319 0.7319 0.7319
0.9966 0.9966 0.9966
0.2498 0.2498 0.2498

---

(2)
OsW2Cl (PBE, relaxed); M_tot = 0.00 μB per formula unit; calculated density = 15.54 Mg/m³; symmetry = I-4m2
1.0
-1.8660 -4.3295 1.9464
2.5988 -1.9813 3.9161
-1.8816 4.5859 -1.2021
Cl Os W
1 1 2
Direct
0.5000 0.5000 0.0000
0.7500 0.2500 0.5000
0.0000 0.0000 0.0000
0.2500 0.7500 0.5000

---

How do the energies compare? Relative to the most stable structure, in kJ/mol of atoms: (1) 0.0; (2) 93.3.

---

(1)
Os2WCl (PBE, relaxed); M_tot = 0.00 μB per formula unit; calculated density = 16.48 Mg/m³; symmetry = Pmmm
1.0
-0.8635 1.3437 -2.3317
3.4561 -1.9493 -2.4032
-2.7324 -3.5616 -1.0406
Cl Os W
1 2 1
Direct
0.0000 0.5000 0.5000
0.0000 0.0000 0.0000
0.5000 0.5000 0.0000
0.5000 0.0000 0.5000

---

(2)
Os2WCl (PBE, relaxed); M_tot = 0.00 μB per formula unit; calculated density = 16.31 Mg/m³; symmetry = C2/m
1.0
5.2610 -0.0071 0.0035
-2.4774 4.6412 0.0035
0.6746 1.1231 2.5048
Cl Os W
1 2 1
Direct
0.0000 0.5000 0.5000
0.0000 0.0000 0.0000
0.5000 0.5000 0.0000
0.5000 0.0000 0.5000

---

(3)
Os2WCl (PBE, relaxed); M_tot = 0.00 μB per formula unit; calculated density = 16.74 Mg/m³; symmetry = P2/m
1.0
-1.1432 0.4209 -3.8974
2.7150 -0.3381 -0.8329
0.7081 -5.2087 -0.7703
Cl Os W
1 2 1
Direct
0.5000 0.7500 0.7500
0.0000 0.8735 0.9908
0.0000 0.6265 0.5092
0.5000 0.2500 0.2500

---

How do the energies compare? Relative to the most stable structure, in kJ/mol of atoms: (1) 25.9; (2) 36.9; (3) 0.0.

---

(1)
Os2WCl (PBE, relaxed); M_tot = 0.00 μB per formula unit; calculated density = 12.48 Mg/m³; symmetry = Pmm2
1.0
-2.2359 1.1063 1.3177
-2.0468 -2.9335 -1.0100
1.9939 -3.5956 6.4022
Cl Os W
1 2 1
Direct
0.5000 0.5000 0.6785
0.0000 0.0000 0.1185
0.5000 0.5000 0.2511
0.0000 0.0000 0.4518

---

(2)
Os2WCl (PBE, relaxed); M_tot = 0.00 μB per formula unit; calculated density = 16.63 Mg/m³; symmetry = Imm2
1.0
5.3057 -0.0007 -0.0005
2.5480 4.6539 0.0005
-3.3160 -3.3576 2.4251
Cl Os W
1 2 1
Direct
0.7443 0.2443 0.5000
0.9914 0.9914 0.0000
0.2409 0.7409 0.5000
0.5234 0.5234 0.0000

---

How do the energies compare? Relative to the most stable structure, in kJ/mol of atoms: (1) 0.0; (2) 16.9.

---

(1)
Os2WCl (PBE, relaxed); M_tot = 0.27 μB per formula unit; calculated density = 14.59 Mg/m³; symmetry = Cmm2
1.0
2.8146 0.0204 0.0000
-1.4350 2.4215 0.0000
0.0000 0.0000 9.9751
Cl Os W
1 2 1
Direct
0.5000 0.5000 0.7011
0.0000 0.0000 0.0414
0.5000 0.5000 0.2609
0.0000 0.0000 0.4966

---

(2)
Os2WCl (PBE, relaxed); M_tot = 0.00 μB per formula unit; calculated density = 14.78 Mg/m³; symmetry = P4/mmm
1.0
-0.3236 -0.7611 -2.9572
2.3741 -1.9329 0.2377
-4.4693 -5.2627 1.8436
Cl Os W
1 2 1
Direct
0.5000 0.5000 0.7500
0.0000 0.0000 0.0428
0.0000 0.0000 0.4572
0.5000 0.5000 0.2500

---

(3)
Os2WCl (PBE, relaxed); M_tot = 0.00 μB per formula unit; calculated density = 12.75 Mg/m³; symmetry = Pm
1.0
3.7095 0.0000 0.0000
0.0000 2.8180 0.1907
0.0000 2.2944 7.6260
Cl Os W
1 2 1
Direct
0.5000 0.4425 0.6843
0.0000 0.0116 0.1117
0.5000 0.3770 0.2475
0.0000 0.6690 0.4566

---

How do the energies compare? Relative to the most stable structure, in kJ/mol of atoms: (1) 22.5; (2) 13.8; (3) 0.0.

---

(1)
OsWCl3 (PBE, relaxed); M_tot = 2.29 μB per formula unit; calculated density = 6.95 Mg/m³; symmetry = Pm-3m
1.0
-4.3247 0.0061 2.2167
-0.4155 -4.7758 -0.7974
2.1775 -0.8991 4.2506
Os W Cl
1 1 3
Direct
0.5000 0.5000 0.5000
0.0000 0.0000 0.0000
0.0000 0.5000 0.0000
0.0000 0.0000 0.5000
0.5000 0.0000 0.0000

---

(2)
OsWCl3 (PBE, relaxed); M_tot = 3.75 μB per formula unit; calculated density = 7.20 Mg/m³; symmetry = Pm-3m
1.0
-1.5731 0.6179 4.4948
-4.3260 -1.6382 -1.2889
1.3676 -4.4715 1.0933
Os W Cl
1 1 3
Direct
0.0000 0.0000 0.0000
0.5000 0.5000 0.5000
0.0000 0.5000 0.0000
0.0000 0.0000 0.5000
0.5000 0.0000 0.0000

---

How do the energies compare? Relative to the most stable structure, in kJ/mol of atoms: (1) 0.0; (2) 9.0.

---

(1)
Y2Os2Cl (PBE, relaxed); M_tot = 0.26 μB per formula unit; calculated density = 8.47 Mg/m³; symmetry = I4/mmm
1.0
-3.7209 0.1973 -0.2545
0.2261 -0.4999 -3.6943
-2.2594 -8.4086 -0.8883
Y Os Cl
2 2 1
Direct
0.3791 0.3791 0.2418
0.6209 0.6209 0.7582
0.7500 0.2500 0.5000
0.2500 0.7500 0.5000
0.0000 0.0000 0.0000

---

(2)
Y2Os2Cl (PBE, relaxed); M_tot = 1.10 μB per formula unit; calculated density = 8.59 Mg/m³; symmetry = P4/mbm
1.0
-1.9909 -5.7485 -5.5078
7.6440 -2.9670 0.3336
-0.9238 -2.0965 2.5220
Y Os Cl
4 4 2
Direct
0.3109 0.8109 0.0000
0.8109 0.6891 0.0000
0.6891 0.1891 0.0000
0.1891 0.3109 0.0000
0.1007 0.6007 0.5000
0.6007 0.8993 0.5000
0.8993 0.3993 0.5000
0.3993 0.1007 0.5000
0.0000 0.0000 0.0000
0.5000 0.5000 0.0000

---

How do the energies compare? Relative to the most stable structure, in kJ/mol of atoms: (1) 0.0; (2) 25.9.